1.
! ZnHgB4 PBE optimized geometry; values from VASP
&SYSTEM
  ibrav = 0, nat = 6, ntyp = 3
/
ATOMIC_SPECIES
B 10.81 B.upf
Hg 200.59 Hg.upf
Zn 65.41 Zn.upf
CELL_PARAMETERS angstrom
-1.208 -4.693 1.061
1.644 -0.605 4.641
-3.280 2.470 -2.783
ATOMIC_POSITIONS crystal
B 0.568 0.239 0.329
B 0.910 0.239 0.671
B 0.432 0.761 0.671
Hg 0.000 0.000 0.000
B 0.090 0.761 0.329
Zn 0.500 0.500 0.000
! uncorrected energy = -4.09 eV per atom
! energy above the lowest structure with this stoichiometry = 120 meV/atom
! space-group type = Immm, No. 71

=====

2.
! ZrHgB2 PBE optimized geometry; values from VASP
&SYSTEM
  ibrav = 0, nat = 4, ntyp = 3
/
ATOMIC_SPECIES
Hg 200.59 Hg.upf
B 10.81 B.upf
Zr 91.22 Zr.upf
CELL_PARAMETERS angstrom
0.204 -3.807 -2.258
-3.707 -1.835 -1.588
-0.763 -0.031 -4.364
ATOMIC_POSITIONS crystal
Hg 0.500 0.500 0.500
B 0.000 0.000 0.000
B 0.250 0.250 0.250
Zr 0.750 0.750 0.750
! total moment = 0.14 μB per cell
! uncorrected energy = -4.16 eV per atom
! space-group type = F-43m, No. 216

=====

3.
! ZrHg2B PBE optimized geometry; values from VASP
&SYSTEM
  ibrav = 0, nat = 4, ntyp = 3
/
ATOMIC_SPECIES
B 10.81 B.upf
Hg 200.59 Hg.upf
Zr 91.22 Zr.upf
CELL_PARAMETERS angstrom
0.000 3.332 3.332
3.332 0.000 3.332
3.332 3.332 0.000
ATOMIC_POSITIONS crystal
B 0.500 0.500 0.500
Hg 0.000 0.000 0.000
Zr 0.250 0.250 0.250
Hg 0.750 0.750 0.750
! total moment = 0.01 μB per cell
! uncorrected energy = -3.24 eV per atom
! space-group type = F-43m, No. 216

=====

4.
! HoB3 PBE optimized geometry; values from VASP
&SYSTEM
  ibrav = 0, nat = 12, ntyp = 2
/
ATOMIC_SPECIES
Ho 164.93 Ho.upf
B 10.81 B.upf
CELL_PARAMETERS angstrom
1.621 8.837 2.661
3.354 6.420 5.944
5.678 7.110 2.237
ATOMIC_POSITIONS crystal
Ho 0.880 0.880 0.880
B 0.973 0.608 0.608
B 0.392 0.392 0.027
Ho 0.000 0.000 0.000
B 0.500 0.500 0.500
B 0.608 0.973 0.608
B 0.608 0.608 0.973
B 0.597 0.597 0.597
B 0.027 0.392 0.392
B 0.403 0.403 0.403
Ho 0.120 0.120 0.120
B 0.392 0.027 0.392
! total moment = 0.12 μB per cell
! uncorrected energy = -6.27 eV per atom
! space-group type = R-3m, No. 166

=====

5.
! HoB2 PBE optimized geometry; values from VASP
&SYSTEM
  ibrav = 0, nat = 6, ntyp = 2
/
ATOMIC_SPECIES
B 10.81 B.upf
Ho 164.93 Ho.upf
CELL_PARAMETERS angstrom
0.000 3.255 3.255
3.255 0.000 3.255
3.255 3.255 0.000
ATOMIC_POSITIONS crystal
B 0.625 0.625 0.125
B 0.625 0.625 0.625
B 0.625 0.125 0.625
B 0.125 0.625 0.625
Ho 0.250 0.250 0.250
Ho 0.000 0.000 0.000
! total moment = 0.00 μB per cell
! uncorrected energy = -5.52 eV per atom
! energy above the lowest structure with this stoichiometry = 1050 meV/atom
! space-group type = Fd-3m, No. 227

=====

6.
! Ho5B PBE optimized geometry; values from VASP
&SYSTEM
  ibrav = 0, nat = 6, ntyp = 2
/
ATOMIC_SPECIES
Ho 164.93 Ho.upf
B 10.81 B.upf
CELL_PARAMETERS angstrom
6.147 0.000 0.000
-3.074 5.324 0.000
0.000 0.000 5.861
ATOMIC_POSITIONS crystal
Ho 0.500 0.500 0.500
Ho 0.667 0.333 0.000
Ho 0.500 0.000 0.500
B 0.000 0.000 0.000
Ho 0.000 0.500 0.500
Ho 0.333 0.667 0.000
! total moment = 0.48 μB per cell
! uncorrected energy = -3.68 eV per atom
! space-group type = P6/mmm, No. 191